VASP calculation (PBE+U) on an optimized crystal structure of Na3CaFe4Si8O24.

The structure in POSCAR format:
```
Na3CaFe4Si8O24
1.0
6.0392 -4.4061 0.0000
6.0392 4.4061 0.0000
-5.2631 0.0000 8.1544
Na Ca Fe Si O
3 1 4 8 24
Cartesian
0.0000 0.0000 0.0000
-0.9295 -0.8495 6.1661
7.7448 -0.8495 1.9883
3.4076 0.0200 4.0772
6.0392 0.9780 0.0000
1.6972 -1.8263 2.0063
3.4076 -3.4616 4.0772
5.1181 -1.8263 6.1481
0.4980 0.9688 3.6610
2.8836 0.9528 0.4213
2.2406 2.5946 5.7249
4.5747 2.5946 2.4295
3.9317 0.9528 7.7332
6.3172 0.9688 4.4934
4.8786 -1.8207 1.6072
1.9367 -1.8207 6.5473
3.9495 4.0542 2.7052
2.8658 4.0542 5.4493
-0.7618 1.0424 4.7181
1.7699 1.8579 4.3090
1.0113 2.4695 6.8027
3.3123 1.6396 1.8831
-1.1065 1.0687 7.5366
5.8040 2.4695 1.3518
2.2665 -0.5061 0.6589
1.1913 -0.4686 3.4110
5.0454 1.8579 3.8454
3.5030 1.6396 6.2713
1.3244 -0.3530 6.8058
5.4909 -0.3530 1.3486
7.9218 1.0687 0.6179
4.3994 -2.5362 0.2030
3.6485 -1.9052 2.7193
0.6849 -2.7240 5.9212
7.5771 1.0424 3.4364
3.1668 -1.9052 5.4351
5.6240 -0.4686 4.7435
4.5488 -0.5061 7.4956
2.4159 -2.5362 7.9514
6.1304 -2.7240 2.2332
```

Calculated values
* electronic total energy: -6.99 eV per atom
* volume: 10.85 Å³ per atom
* total magnetization: 1.0 μB/f.u.